The following is a PBE+U calculation of a relaxed LiV2O3F crystal, from the Alexandria database.

Theoretical density: 3.7 Mg/m³
Volume: 78 Å³/f.u.
Size of the total moment: 0.57 μB/atom
E_tot: -49.33 eV/f.u.

Cell lengths 13.5539, 8.5242, 6.0293 Å; angles 90.00, 115.89, 90.00 degrees
Space group Cc (No. 9)
Inequivalent atoms, fractional coordinates:
Li (0.0000, 0.1207, 0.0000)
Li (0.2366, 0.3677, 0.2082)
V (0.1241, 0.2444, 0.5967)
V (0.2428, 0.0008, 0.9685)
V (0.3631, 0.2721, 0.8264)
V (0.4955, 0.0074, 0.7309)
O (0.1007, 0.4832, 0.5843)
O (0.1349, 0.0079, 0.6038)
O (0.2462, 0.2386, 0.9427)
O (0.2482, 0.2346, 0.4885)
O (0.3735, 0.0197, 0.8576)
O (0.4946, 0.2458, 0.7632)
F (0.3664, 0.4943, 0.3358)
F (0.4937, 0.2486, 0.2158)